*i*
DFT (PBE) results for a relaxed Sb2TeIrW crystal.

Geometry as POSCAR:
```
Sb2TeIrW
1.0
5.043 0.000 0.000
0.000 5.043 0.000
0.000 0.000 5.387
Sb Te W Ir
2 1 1 1
Direct
0.000 0.500 0.000
0.500 0.000 0.000
0.000 0.000 0.500
0.500 0.500 0.500
0.000 0.000 0.000
```

V (Å³ per cell): 137
Symmetry: P4/mmm (123)


*ii*
DFT (PBE) results for a relaxed Sb2TeIrW crystal.

Geometry as POSCAR:
```
Sb2TeIrW
1.0
5.161 0.000 0.000
0.000 5.161 0.000
0.000 0.000 5.120
W Ir Te Sb
1 1 1 2
Direct
0.000 0.000 0.000
0.500 0.500 0.500
0.000 0.000 0.500
0.000 0.500 0.000
0.500 0.000 0.000
```

V (Å³ per cell): 136
Symmetry: P4/mmm (123)


We find *ii* to be the most stable, with the next structure 30 meV per atom higher.


*i*
DFT (PBE) results for a relaxed YSb2TeIr crystal.

Geometry as POSCAR:
```
YSb2TeIr
1.0
-4.154 -2.464 3.067
-1.176 -3.478 -4.387
3.683 -3.744 1.981
Te Sb Y Ir
1 2 1 1
Direct
0.000 0.000 0.500
0.500 0.000 0.000
0.000 0.500 0.000
0.000 0.000 0.000
0.500 0.500 0.500
```

V (Å³ per cell): 184
Symmetry: P4/mmm (123)


*ii*
DFT (PBE) results for a relaxed YSb2TeIr crystal.

Geometry as POSCAR:
```
YSb2TeIr
1.0
5.099 0.000 0.000
0.000 5.099 0.000
0.000 0.000 5.592
Sb Y Te Ir
2 1 1 1
Direct
0.000 0.500 0.000
0.500 0.000 0.000
0.500 0.500 0.500
0.000 0.000 0.500
0.000 0.000 0.000
```

V (Å³ per cell): 145
Symmetry: P4/mmm (123)


We find *ii* to be the most stable, with the next structure 1149 meV per atom higher.